# 1
{"formula": "SrTiNbF2", "functional": "PBE-GGA", "state": "relaxed", "lattice_angstrom": [[4.455, 0.000, 0.000], [0.000, 4.455, 0.000], [0.000, 0.000, 5.108]], "species": ["Sr", "Ti", "Nb", "F", "F"], "frac_coords": [[0.000, 0.000, 0.000], [0.500, 0.500, 0.000], [0.500, 0.500, 0.500], [0.000, 0.500, 0.500], [0.500, 0.000, 0.500]], "dos_ef_per_ev_cell": 3.876, "spacegroup": "P4/mmm (123)", "e_form_raw_ev_per_atom": -0.7619, "dft_energy_ev_per_atom": -5.440}

=====

# 2
{"formula": "PmNdZr", "functional": "PBE-GGA", "state": "relaxed", "lattice_angstrom": [[3.483, 0.000, 0.000], [0.000, 4.788, 0.000], [0.000, 0.000, 10.811]], "species": ["Pm", "Pm", "Nd", "Nd", "Zr", "Zr"], "frac_coords": [[0.250, 0.250, 0.227], [0.750, 0.750, 0.773], [0.250, 0.250, 0.595], [0.750, 0.750, 0.405], [0.250, 0.250, 0.934], [0.750, 0.750, 0.066]], "e_form_mev_per_atom": 123, "dos_ef_per_ev_cell": 8.724, "spacegroup": "Pmmn (59)", "dft_energy_ev_per_atom": -5.900}

=====

# 3
{"formula": "PaReGe2", "functional": "PBE-GGA", "state": "relaxed", "lattice_angstrom": [[6.609, 0.000, 0.000], [0.000, 6.609, 0.000], [0.000, 0.000, 6.609]], "species": ["Pa", "Pa", "Pa", "Pa", "Re", "Re", "Re", "Re", "Ge", "Ge", "Ge", "Ge", "Ge", "Ge", "Ge", "Ge"], "frac_coords": [[0.000, 0.000, 0.000], [0.000, 0.500, 0.500], [0.500, 0.000, 0.500], [0.500, 0.500, 0.000], [0.000, 0.000, 0.500], [0.000, 0.500, 0.000], [0.500, 0.000, 0.000], [0.500, 0.500, 0.500], [0.250, 0.250, 0.250], [0.250, 0.250, 0.750], [0.250, 0.750, 0.250], [0.250, 0.750, 0.750], [0.750, 0.250, 0.250], [0.750, 0.250, 0.750], [0.750, 0.750, 0.250], [0.750, 0.750, 0.750]], "e_form_mev_per_atom": -127, "dos_ef_per_ev_cell": 11.132, "spacegroup": "Fm-3m (225)", "dft_energy_ev_per_atom": -7.922}

=====

# 4
{"formula": "Tb2YZn4", "functional": "PBE-GGA", "state": "relaxed", "lattice_angstrom": [[5.179, 0.000, 0.000], [0.000, 5.179, 0.000], [0.000, 0.000, 12.399]], "species": ["Tb", "Tb", "Tb", "Tb", "Y", "Y", "Zn", "Zn", "Zn", "Zn", "Zn", "Zn", "Zn", "Zn"], "frac_coords": [[0.000, 0.000, 0.222], [0.000, 0.000, 0.778], [0.500, 0.500, 0.278], [0.500, 0.500, 0.722], [0.000, 0.000, 0.500], [0.500, 0.500, 0.000], [0.000, 0.500, 0.110], [0.000, 0.500, 0.390], [0.000, 0.500, 0.610], [0.000, 0.500, 0.890], [0.500, 0.000, 0.110], [0.500, 0.000, 0.390], [0.500, 0.000, 0.610], [0.500, 0.000, 0.890]], "e_form_mev_per_atom": -162, "dos_ef_per_ev_cell": 9.346, "spacegroup": "I4/mmm (139)", "dft_energy_ev_per_atom": -3.136}